Record 1
MnBe2Au | PBE-GGA | optimized geometry

abc: 5.857 5.857 5.857
angles: 90.00 90.00 90.00
Space group F-43m (No. 216)
Symmetry-distinct sites (fractional):
Mn: 0.000 0.000 0.000 (multiplicity 4)
Be: 0.000 0.000 0.500 (multiplicity 4)
Be: 0.250 0.250 0.250 (multiplicity 4)
Au: 0.250 0.250 0.750 (multiplicity 4)

- DFT formation energy (meV/atom) = 111
- calculated total energy (eV/cell) = -77.8
- DOS at the Fermi energy (states/eV/cell) = 3.65

=====

Record 2
ScH2S2 | PBE-GGA | optimized geometry

abc: 3.252 3.252 11.078
angles: 90.00 90.00 90.00
Space group I4/mmm (No. 139)
Symmetry-distinct sites (fractional):
Sc: 0.000 0.000 0.000 (multiplicity 2)
H: 0.000 0.500 0.250 (multiplicity 4)
S: 0.000 0.000 0.364 (multiplicity 4)

- calculated total energy (eV/cell) = -43.7
- DOS at the Fermi energy (states/eV/cell) = 4.38

=====

Record 3
Te2PtAu | PBE-GGA | optimized geometry

abc: 4.0220 4.0220 20.1440
angles: 90.00 90.00 120.00
Space group R-3m (No. 166, hexagonal axes)
Symmetry-distinct sites (fractional):
Te: 0.0000 0.0000 0.2399 (multiplicity 6)
Pt: 0.0000 0.0000 0.5000 (multiplicity 3)
Au: 0.0000 0.0000 0.0000 (multiplicity 3)

- formation energy without anion corrections (eV/f.u.) = -0.7
- calculated total energy (eV/cell) = -48.9
- DOS at the Fermi energy (states/eV/cell) = 5.64

=====

Record 4
Ti2BeZnTe | PBE-GGA | optimized geometry

abc: 5.007 5.007 4.971
angles: 90.00 90.00 90.00
Space group P4/mmm (No. 123)
Symmetry-distinct sites (fractional):
Ti: 0.000 0.500 0.000 (multiplicity 2)
Be: 0.000 0.000 0.500 (multiplicity 1)
Zn: 0.500 0.500 0.500 (multiplicity 1)
Te: 0.500 0.500 0.000 (multiplicity 1)

- formation energy without anion corrections (eV/f.u.) = 5.9
- calculated total energy (eV/cell) = -18.0
- DOS at the Fermi energy (states/eV/cell) = 4.66

=====

Record 5
Ba2LiI5 | PBE-GGA | optimized geometry

abc: 14.222 10.643 10.338
angles: 90.00 96.08 90.00
Space group P2_1/c (No. 14)
Symmetry-distinct sites (fractional):
Ba: 0.036 0.120 0.253 (multiplicity 4)
Ba: 0.366 0.159 0.973 (multiplicity 4)
Li: 0.300 0.604 0.977 (multiplicity 4)
I: 0.093 0.651 0.957 (multiplicity 4)
I: 0.111 0.102 0.915 (multiplicity 4)
I: 0.278 0.079 0.274 (multiplicity 4)
I: 0.382 0.065 0.656 (multiplicity 4)
I: 0.391 0.669 0.497 (multiplicity 4)

- formation energy without anion corrections (eV/f.u.) = -12.9
- calculated total energy (eV/cell) = -105.5
- DOS at the Fermi energy (states/eV/cell) = 0.00

=====

Record 6
Ac4RhI2Cl | PBE-GGA | optimized geometry

abc: 7.835 4.354 8.882
angles: 90.00 107.03 90.00
Space group P2/m (No. 10)
Symmetry-distinct sites (fractional):
Ac: 0.208 0.000 0.194 (multiplicity 2)
Ac: 0.253 0.500 0.802 (multiplicity 2)
Rh: 0.000 0.500 0.000 (multiplicity 1)
I: 0.000 0.000 0.500 (multiplicity 1)
I: 0.500 0.500 0.500 (multiplicity 1)
Cl: 0.500 0.000 0.000 (multiplicity 1)

- formation energy without anion corrections (eV/f.u.) = -8.5
- calculated total energy (eV/cell) = -37.2
- DOS at the Fermi energy (states/eV/cell) = 5.09

=====

Record 7
Ac3RuBr3 | PBE-GGA | optimized geometry

abc: 9.569 4.468 12.827
angles: 90.00 94.12 90.00
Space group P2_1/m (No. 11)
Symmetry-distinct sites (fractional):
Ac: 0.095 0.250 0.393 (multiplicity 2)
Ac: 0.125 0.250 0.843 (multiplicity 2)
Ac: 0.326 0.750 0.624 (multiplicity 2)
Ru: 0.117 0.250 0.627 (multiplicity 2)
Br: 0.105 0.250 0.114 (multiplicity 2)
Br: 0.357 0.750 0.877 (multiplicity 2)
Br: 0.394 0.750 0.377 (multiplicity 2)

- formation energy without anion corrections (eV/f.u.) = -9.0
- energy above the lowest structure with this stoichiometry (kcal/mol of atoms) = 0.000
- calculated total energy (eV/cell) = -71.3
- DOS at the Fermi energy (states/eV/cell) = 2.28

=====

Record 8
Rb2In2I | PBE-GGA | optimized geometry

abc: 10.248 10.248 4.985
angles: 90.00 90.00 90.00
Space group P4/mbm (No. 127)
Symmetry-distinct sites (fractional):
Rb: 0.201 0.299 0.000 (multiplicity 4)
In: 0.099 0.599 0.500 (multiplicity 4)
I: 0.000 0.000 0.000 (multiplicity 2)

- formation energy without anion corrections (eV/f.u.) = -1.0
- energy above the lowest structure with this stoichiometry (kcal/mol of atoms) = 8.522
- calculated total energy (eV/cell) = -20.0
- DOS at the Fermi energy (states/eV/cell) = 15.11

=====

Record 9
RbBa2CoRu | PBE-GGA | optimized geometry

abc: 6.151 6.151 4.570
angles: 90.00 90.00 90.00
Space group P4/mmm (No. 123)
Symmetry-distinct sites (fractional):
Rb: 0.000 0.000 0.000 (multiplicity 1)
Ba: 0.000 0.500 0.500 (multiplicity 2)
Co: 0.500 0.500 0.500 (multiplicity 1)
Ru: 0.500 0.500 0.000 (multiplicity 1)

- DFT formation energy (meV/atom) = 624
- calculated total energy (eV/cell) = -18.1
- DOS at the Fermi energy (states/eV/cell) = 6.89

=====

Record 10
Hf2Sc2Be | PBE-GGA | optimized geometry

abc: 6.775 6.775 4.694
angles: 90.00 90.00 90.00
Space group P4/mbm (No. 127)
Symmetry-distinct sites (fractional):
Hf: 0.148 0.352 0.000 (multiplicity 4)
Sc: 0.158 0.658 0.500 (multiplicity 4)
Be: 0.000 0.000 0.000 (multiplicity 2)

- DFT formation energy (meV/atom) = 320
- calculated total energy (eV/cell) = -69.4
- DOS at the Fermi energy (states/eV/cell) = 12.58

=====

Record 11
TiCuPt6 | PBE-GGA | optimized geometry

abc: 3.934 3.934 7.808
angles: 90.00 90.00 90.00
Space group P4/mmm (No. 123)
Symmetry-distinct sites (fractional):
Ti: 0.000 0.000 0.000 (multiplicity 1)
Cu: 0.000 0.000 0.500 (multiplicity 1)
Pt: 0.000 0.500 0.249 (multiplicity 4)
Pt: 0.500 0.500 0.000 (multiplicity 1)
Pt: 0.500 0.500 0.500 (multiplicity 1)

- DFT formation energy (meV/atom) = -532
- calculated total energy (eV/cell) = -52.5
- DOS at the Fermi energy (states/eV/cell) = 8.45

=====

Record 12
La3SnGe | PBE-GGA | optimized geometry

abc: 7.447 9.772 16.571
angles: 90.00 90.00 90.00
Space group Fmmm (No. 69)
Symmetry-distinct sites (fractional):
La: 0.000 0.000 0.192 (multiplicity 8)
La: 0.000 0.195 0.398 (multiplicity 16)
Sn: 0.197 0.000 0.000 (multiplicity 8)
Ge: 0.250 0.250 0.250 (multiplicity 8)

- DFT formation energy (meV/atom) = -684
- energy above the lowest structure with this stoichiometry (kcal/mol of atoms) = 0.000
- calculated total energy (eV/cell) = -214.6
- DOS at the Fermi energy (states/eV/cell) = 31.84

=====

Question: Among the records above, which one has the highest DOS at the Fermi energy?
Answer: La3SnGe

=====

Question: Among the records above, which one has the lowest calculated total energy?
Answer: La3SnGe

=====

Question: What is the calculated total energy in the seventh record?
Answer: -71.3 eV/cell